[1]
# PaZnAsO6, optimized geometry, DFT GGA-PBE
# DOS(E_F): 0.00 states/eV per atom
# spin magnetization: 0.00 Bohr magnetons per cell
# total energy: -7.00 eV per atom
data_PaZnAsO6
_symmetry_space_group_name_H-M 'P -3 1 c'
_symmetry_Int_Tables_number 163
_symmetry_space_group_name_Hall '-P 3 2c'
_cell_length_a 5.3642
_cell_length_b 5.3642
_cell_length_c 8.8338
_cell_angle_alpha 90.00
_cell_angle_beta 90.00
_cell_angle_gamma 120.00
loop_
_atom_site_label
_atom_site_type_symbol
_atom_site_fract_x
_atom_site_fract_y
_atom_site_fract_z
Pa1 Pa 0.3333 0.6667 0.2500
Zn1 Zn 0.0000 0.0000 0.0000
As1 As 0.3333 0.6667 0.7500
O1 O 0.0452 0.3717 0.6320



[2]
# As2PbO, optimized geometry, DFT GGA-PBE
# DOS(E_F): 0.55 states/eV per atom
# spin magnetization: 0.00 Bohr magnetons per cell
# E above lowest polymorph: 0.5835 eV per atom
# total energy: -3.95 eV per atom
data_As2PbO
_symmetry_space_group_name_H-M 'F m -3 m'
_symmetry_Int_Tables_number 225
_symmetry_space_group_name_Hall '-F 4 2 3'
_cell_length_a 6.703
_cell_length_b 6.703
_cell_length_c 6.703
_cell_angle_alpha 90.00
_cell_angle_beta 90.00
_cell_angle_gamma 90.00
loop_
_atom_site_label
_atom_site_type_symbol
_atom_site_fract_x
_atom_site_fract_y
_atom_site_fract_z
As1 As 0.250 0.250 0.250
Pb1 Pb 0.000 0.000 0.000
O1 O 0.000 0.000 0.500



[3]
# AsPbO2, optimized geometry, DFT GGA-PBE
# DOS(E_F): 0.12 states/eV per atom
# spin magnetization: 0.00 Bohr magnetons per cell
# E above lowest polymorph: 0.0000 eV per atom
# total energy: -5.24 eV per atom
data_AsPbO2
_symmetry_space_group_name_H-M 'R -3 m'
_symmetry_Int_Tables_number 166
_symmetry_space_group_name_Hall '-R 3 2"'
_cell_length_a 3.2668
_cell_length_b 3.2668
_cell_length_c 21.2508
_cell_angle_alpha 90.00
_cell_angle_beta 90.00
_cell_angle_gamma 120.00
loop_
_atom_site_label
_atom_site_type_symbol
_atom_site_fract_x
_atom_site_fract_y
_atom_site_fract_z
As1 As 0.0000 0.0000 0.0000
Pb1 Pb 0.0000 0.0000 0.5000
O1 O 0.0000 0.0000 0.3856



[4]
# As2Pb2O7, optimized geometry, DFT GGA-PBE
# DOS(E_F): 0.00 states/eV per atom
# spin magnetization: 0.00 Bohr magnetons per cell
# E above lowest polymorph: 0.0000 eV per atom
# total energy: -5.94 eV per atom
data_As2Pb2O7
_symmetry_space_group_name_H-M 'C 1 2/m 1'
_symmetry_Int_Tables_number 12
_symmetry_space_group_name_Hall '-C 2y'
_cell_length_a 7.500
_cell_length_b 10.200
_cell_length_c 5.060
_cell_angle_alpha 90.00
_cell_angle_beta 100.46
_cell_angle_gamma 90.00
loop_
_atom_site_label
_atom_site_type_symbol
_atom_site_fract_x
_atom_site_fract_y
_atom_site_fract_z
As1 As 0.222 0.000 0.421
Pb1 Pb 0.000 0.308 0.000
O1 O 0.000 0.000 0.500
O2 O 0.132 0.500 0.275
O3 O 0.240 0.141 0.247



[5]
# AsPb2O, optimized geometry, DFT GGA-PBE
# DOS(E_F): 0.54 states/eV per atom
# spin magnetization: 0.00 Bohr magnetons per cell
# E above lowest polymorph: 0.0000 eV per atom
# total energy: -4.55 eV per atom
data_AsPb2O
_symmetry_space_group_name_H-M 'I -4 2 d'
_symmetry_Int_Tables_number 122
_symmetry_space_group_name_Hall 'I -4 2bw'
_cell_length_a 5.969
_cell_length_b 5.969
_cell_length_c 12.709
_cell_angle_alpha 90.00
_cell_angle_beta 90.00
_cell_angle_gamma 90.00
loop_
_atom_site_label
_atom_site_type_symbol
_atom_site_fract_x
_atom_site_fract_y
_atom_site_fract_z
As1 As 0.000 0.000 0.000
Pb1 Pb 0.184 0.250 0.625
O1 O 0.000 0.000 0.500



[6]
# AsPbO2, optimized geometry, DFT GGA-PBE
# DOS(E_F): 0.52 states/eV per atom
# spin magnetization: 0.00 Bohr magnetons per cell
# E above lowest polymorph: 0.6015 eV per atom
# total energy: -4.63 eV per atom
data_AsPbO2
_symmetry_space_group_name_H-M 'F m -3 m'
_symmetry_Int_Tables_number 225
_symmetry_space_group_name_Hall '-F 4 2 3'
_cell_length_a 6.149
_cell_length_b 6.149
_cell_length_c 6.149
_cell_angle_alpha 90.00
_cell_angle_beta 90.00
_cell_angle_gamma 90.00
loop_
_atom_site_label
_atom_site_type_symbol
_atom_site_fract_x
_atom_site_fract_y
_atom_site_fract_z
As1 As 0.000 0.000 0.000
Pb1 Pb 0.000 0.000 0.500
O1 O 0.250 0.250 0.250



no.,uncorrected formation energy (meV/atom)
1,-1980.0
2,538.2
3,-667.0
4,-1262.7
5,-295.8
6,-65.5